The following is a PBE-GGA calculation of a geometry-optimized As2OsPt structure, from Alexandria via LeMat-Bulk.

Cell and atoms, written as POSCAR:
```
As2OsPt
1.0
3.1851 0.0000 0.0000
0.0000 3.8836 0.0000
0.0000 0.0000 5.2410
As Os Pt
2 1 1
direct
0.0000 0.0000 0.9343 As
0.5000 0.5000 0.3103 As
0.0000 0.0000 0.4573 Os
0.5000 0.5000 0.7982 Pt
```

## Properties
Total energy   -26.1 eV per cell
Energy of formation from the pure elements   0.1076 eV/atom
E above lowest polymorph   11 meV per atom

***

The following is a PBE-GGA calculation of a geometry-optimized AcTbOsAu structure, from Alexandria via LeMat-Bulk.

Cell and atoms, written as POSCAR:
```
AcTbOsAu
1.0
5.1675 0.0000 0.0000
2.5837 4.4752 0.0000
2.5837 1.4917 4.2192
Tb Os Ac Au
1 1 1 1
direct
0.7500 0.7500 0.7500 Tb
0.5000 0.5000 0.5000 Os
0.2500 0.2500 0.2500 Ac
0.0000 0.0000 0.0000 Au
```

## Properties
Total energy   -24.3 eV per cell
Energy of formation from the pure elements   -0.2645 eV/atom

***

The following is a PBE-GGA calculation of a geometry-optimized Na2SmYO4 structure, from Alexandria via LeMat-Bulk.

Cell and atoms, written as POSCAR:
```
Na2SmYO4
1.0
-1.3446 1.6565 2.7534
-0.3033 -5.2287 2.9976
5.2657 2.5947 1.0104
Na Sm Y O
2 1 1 4
direct
0.5000 0.0000 0.5000 Na
0.0000 0.5000 0.5000 Na
0.0000 0.0000 0.0000 Sm
0.5000 0.5000 0.0000 Y
0.5000 0.2435 0.2138 O
0.5000 0.7565 0.7862 O
0.0000 0.2675 0.7875 O
0.0000 0.7325 0.2125 O
```

## Properties
Total energy   -55.4 eV per cell
Uncorrected formation energy   -2723 meV per atom

***

The following is a PBE-GGA calculation of a geometry-optimized LaFe2Hg structure, from Alexandria via LeMat-Bulk.

Cell and atoms, written as POSCAR:
```
LaFe2Hg
1.0
3.5275 0.0000 0.0000
0.0000 3.5371 0.0000
0.0000 0.0000 6.5551
Fe Hg La
2 1 1
direct
0.0000 0.0000 0.0720 Fe
0.0000 0.0000 0.4280 Fe
0.5000 0.5000 0.2500 Hg
0.5000 0.5000 0.7500 La
```

## Properties
Total energy   -20.8 eV per cell
Energy of formation from the pure elements   0.3463 eV/atom

***

The following is a PBE-GGA calculation of a geometry-optimized LiGaBiRh structure, from Alexandria via LeMat-Bulk.

Cell and atoms, written as POSCAR:
```
LiGaBiRh
1.0
4.6366 0.0000 0.0000
2.3183 4.0154 0.0000
2.3183 1.3385 3.7857
Rh Bi Ga Li
1 1 1 1
direct
0.0000 0.0000 0.0000 Rh
0.2500 0.2500 0.2500 Bi
0.7500 0.7500 0.7500 Ga
0.5000 0.5000 0.5000 Li
```

## Properties
Total energy   -17.3 eV per cell
Energy of formation from the pure elements   -0.2722 eV/atom

***

The following is a PBE-GGA calculation of a geometry-optimized SrIr structure, from Alexandria via LeMat-Bulk.

Cell and atoms, written as POSCAR:
```
SrIr
1.0
-1.2351 1.0705 6.6245
-5.6631 -3.7798 -0.4451
3.5999 -5.5787 1.5727
Sr Ir
4 4
direct
0.2500 0.2500 0.2500 Sr
0.2500 0.7500 0.7500 Sr
0.7500 0.2500 0.7500 Sr
0.7500 0.7500 0.2500 Sr
0.0000 0.0000 0.0000 Ir
0.0000 0.5000 0.5000 Ir
0.5000 0.0000 0.5000 Ir
0.5000 0.5000 0.0000 Ir
```

## Properties
Total energy   -32.2 eV per cell
Energy of formation from the pure elements   1.2500 eV/atom

***

The following is a PBE-GGA calculation of a geometry-optimized Ho2PaAl structure, from Alexandria via LeMat-Bulk.

Cell and atoms, written as POSCAR:
```
Ho2PaAl
1.0
4.5211 0.0000 0.0000
0.0000 4.7219 0.0000
0.0000 0.0000 4.7219
Pa Ho Al
1 2 1
direct
0.5000 0.5000 0.5000 Pa
0.0000 0.0000 0.5000 Ho
0.0000 0.5000 0.0000 Ho
0.5000 0.0000 0.0000 Al
```

## Properties
Total energy   -22.4 eV per cell
Energy of formation from the pure elements   -0.0126 eV/atom
E above lowest polymorph   63 meV per atom

***

The following is a PBE-GGA calculation of a geometry-optimized Pm6Nd4Mg structure, from Alexandria via LeMat-Bulk.

Cell and atoms, written as POSCAR:
```
Pm6Nd4Mg
1.0
7.5032 -2.9412 -5.5121
-5.1879 8.0482 1.9090
-1.8959 2.9412 9.1152
Pm Nd Mg
6 4 1
direct
0.0000 0.7878 0.4545 Pm
0.0000 0.4545 0.7878 Pm
0.3334 0.5455 0.5455 Pm
0.5000 0.5000 0.0000 Pm
0.6666 0.2122 0.2122 Pm
0.5000 0.0000 0.5000 Pm
0.0000 0.6398 0.0038 Nd
0.3640 0.3602 0.3602 Nd
0.0000 0.0038 0.6398 Nd
0.6360 0.9962 0.9962 Nd
0.0000 0.0000 0.0000 Mg
```

## Properties
Total energy   -46.4 eV per cell
Energy of formation from the pure elements   0.2539 eV/atom

***

The following is a PBE-GGA calculation of a geometry-optimized MnZn4Ni3 structure, from Alexandria via LeMat-Bulk.

Cell and atoms, written as POSCAR:
```
MnZn4Ni3
1.0
3.3699 0.0000 -0.6998
0.0215 3.7895 0.1035
-0.0935 1.6813 8.0140
Ni Zn Mn
3 4 1
direct
0.0000 0.5000 0.0000 Ni
0.8768 0.1236 0.7536 Ni
0.1232 0.8764 0.2464 Ni
0.6194 0.3802 0.2388 Zn
0.3806 0.6198 0.7612 Zn
0.2512 0.2490 0.5023 Zn
0.7488 0.7510 0.4977 Zn
0.5000 0.0000 0.0000 Mn
```

## Properties
Total energy   -32.8 eV per cell
Energy of formation from the pure elements   -0.1500 eV/atom

***

The following is a PBE-GGA calculation of a geometry-optimized Ca2ZnIr structure, from Alexandria via LeMat-Bulk.

Cell and atoms, written as POSCAR:
```
Ca2ZnIr
1.0
6.1397 0.1710 0.2139
3.0200 5.3484 -0.2139
-4.1250 -3.5146 2.8989
Zn Ir Ca
1 1 2
direct
0.3023 0.8023 0.5000 Zn
0.4768 0.4768 0.0000 Ir
0.0109 0.0109 0.0000 Ca
0.7100 0.2100 0.5000 Ca
```

## Properties
Total energy   -15.1 eV per cell
Energy of formation from the pure elements   -0.2338 eV/atom

***

The following is a PBE-GGA calculation of a geometry-optimized Cd2FeTc structure, from Alexandria via LeMat-Bulk.

Cell and atoms, written as POSCAR:
```
Cd2FeTc
1.0
5.1321 0.0066 0.0000
2.0958 4.6847 0.0000
-3.6139 -2.3457 2.7885
Cd Fe Tc
2 1 1
direct
0.0000 0.0000 0.0000 Cd
0.5000 0.5000 0.0000 Cd
0.2500 0.7500 0.5000 Fe
0.7500 0.2500 0.5000 Tc
```

## Properties
Total energy   -18.7 eV per cell
Energy of formation from the pure elements   0.4802 eV/atom
E above lowest polymorph   287 meV per atom

***

The following is a PBE-GGA calculation of a geometry-optimized Si2P structure, from Alexandria via LeMat-Bulk.

Cell and atoms, written as POSCAR:
```
Si2P
1.0
-3.1651 -4.1173 0.1373
2.3067 -1.8978 4.2819
-2.1764 1.0367 4.7155
Si P
4 2
direct
0.5379 0.5323 0.2001 Si
0.0159 0.5594 0.6925 Si
0.6922 0.2627 0.6610 Si
0.3432 0.2772 0.9939 Si
0.8777 0.8229 0.9164 P
0.3568 0.8222 0.3778 P
```

## Properties
Total energy   -32.2 eV per cell
Uncorrected formation energy   52 meV per atom
E above lowest polymorph   49 meV per atom

***

The following is a PBE-GGA calculation of a geometry-optimized Rb2AuSe structure, from Alexandria via LeMat-Bulk.

Cell and atoms, written as POSCAR:
```
Rb2AuSe
1.0
-3.4895 -3.1828 8.1348
7.8623 -4.9616 1.4314
3.4656 -1.6087 6.2957
Au Se Rb
2 2 4
direct
0.0000 0.0000 0.0000 Au
0.7500 0.2500 0.5000 Au
0.5000 0.5000 0.0000 Se
0.2500 0.7500 0.5000 Se
0.6107 0.1250 0.2500 Rb
0.1393 0.6250 0.2500 Rb
0.3750 0.3893 0.7500 Rb
0.8750 0.8607 0.7500 Rb
```

## Properties
Total energy   -20.7 eV per cell
Uncorrected formation energy   -410 meV per atom

***

The following is a PBE-GGA calculation of a geometry-optimized LiCa3Pb structure, from Alexandria via LeMat-Bulk.

Cell and atoms, written as POSCAR:
```
LiCa3Pb
1.0
6.0863 0.0000 0.0000
0.0000 6.0863 0.0000
0.0000 0.0000 6.0863
Pb Ca Li
1 3 1
direct
0.0000 0.0000 0.0000 Pb
0.0000 0.5000 0.0000 Ca
0.0000 0.0000 0.5000 Ca
0.5000 0.0000 0.0000 Ca
0.5000 0.5000 0.5000 Li
```

## Properties
Total energy   -11.7 eV per cell
Energy of formation from the pure elements   -0.0175 eV/atom
E above lowest polymorph   293 meV per atom

***

The following is a PBE-GGA calculation of a geometry-optimized NdHo2Tm2 structure, from Alexandria via LeMat-Bulk.

Cell and atoms, written as POSCAR:
```
NdHo2Tm2
1.0
-3.4968 -3.5832 -7.9381
8.2313 -4.1548 -1.7506
-1.1068 -2.9613 1.8243
Nd Ho Tm
2 4 4
direct
0.0000 0.0000 0.0000 Nd
0.5000 0.5000 0.0000 Nd
0.3268 0.8268 0.5000 Ho
0.8268 0.6732 0.5000 Ho
0.6732 0.1732 0.5000 Ho
0.1732 0.3268 0.5000 Ho
0.1232 0.6232 0.0000 Tm
0.6232 0.8768 0.0000 Tm
0.8768 0.3768 0.0000 Tm
0.3768 0.1232 0.0000 Tm
```

## Properties
Total energy   -44.9 eV per cell
Energy of formation from the pure elements   0.0854 eV/atom
E above lowest polymorph   0 meV per atom

***

The following is a PBE-GGA calculation of a geometry-optimized Te2HPt structure, from Alexandria via LeMat-Bulk.

Cell and atoms, written as POSCAR:
```
Te2HPt
1.0
-1.5038 -6.8797 5.4278
-2.2261 -8.1948 2.6349
0.7906 -8.0892 3.6045
H Te Pt
1 2 1
direct
0.5000 0.5000 0.5000 H
0.9000 0.9000 0.9000 Te
0.1000 0.1000 0.1000 Te
0.0000 0.0000 0.0000 Pt
```

## Properties
Total energy   -13.5 eV per cell
E above lowest polymorph   613 meV per atom

***

The following is a PBE-GGA calculation of a geometry-optimized Pu2VPd structure, from Alexandria via LeMat-Bulk.

Cell and atoms, written as POSCAR:
```
Pu2VPd
1.0
3.6245 0.0000 0.0000
0.0000 3.6245 0.0000
0.0000 0.0000 6.3306
V Pd Pu
1 1 2
direct
0.5000 0.5000 0.0000 V
0.5000 0.5000 0.5000 Pd
0.0000 0.0000 0.7463 Pu
0.0000 0.0000 0.2537 Pu
```

## Properties
Total energy   -42.7 eV per cell
Energy of formation from the pure elements   0.0759 eV/atom
E above lowest polymorph   23 meV per atom

***

The following is a PBE-GGA calculation of a geometry-optimized Pm2LuO structure, from Alexandria via LeMat-Bulk.

Cell and atoms, written as POSCAR:
```
Pm2LuO
1.0
3.2352 0.0000 0.0000
0.0000 3.2352 0.0000
0.0000 0.0000 8.9079
Lu O Pm
1 1 2
direct
0.5000 0.5000 0.5000 Lu
0.5000 0.5000 0.0000 O
0.0000 0.0000 0.8266 Pm
0.0000 0.0000 0.1734 Pm
```

## Properties
Total energy   -22.3 eV per cell
Uncorrected formation energy   -828 meV per atom

***

The following is a PBE-GGA calculation of a geometry-optimized W2AuSe structure, from Alexandria via LeMat-Bulk.

Cell and atoms, written as POSCAR:
```
W2AuSe
1.0
-2.4612 -3.8959 -0.0399
-0.5445 -2.4214 3.8830
-4.1166 -0.1461 2.0663
Au Se W
1 1 2
direct
0.5000 0.5000 0.5000 Au
0.2500 0.2500 0.2500 Se
0.0000 0.0000 0.0000 W
0.7500 0.7500 0.7500 W
```

## Properties
Total energy   -29.1 eV per cell
Uncorrected formation energy   904 meV per atom

***

The following is a PBE-GGA calculation of a geometry-optimized Ba2InBPd6 structure, from Alexandria via LeMat-Bulk.

Cell and atoms, written as POSCAR:
```
Ba2InBPd6
1.0
6.0793 0.0114 0.0164
-0.0160 7.4347 0.9393
3.0178 4.4096 5.2535
Ba In B Pd
2 1 1 6
direct
0.7243 0.2755 0.5513 Ba
0.2757 0.7245 0.4487 Ba
0.0000 0.0000 0.0000 In
0.5000 0.5000 0.0000 B
0.2698 0.2038 0.4604 Pd
0.7958 0.7300 0.9344 Pd
0.2698 0.7300 0.9343 Pd
0.7302 0.2700 0.0657 Pd
0.2042 0.2699 0.0656 Pd
0.7302 0.7962 0.5396 Pd
```

## Properties
Total energy   -49.5 eV per cell
Energy of formation from the pure elements   -0.5103 eV/atom

***

The following is a PBE-GGA calculation of a geometry-optimized Tb3Pd2 structure, from Alexandria via LeMat-Bulk.

Cell and atoms, written as POSCAR:
```
Tb3Pd2
1.0
-2.8738 2.7900 -1.4658
2.0773 -5.0348 -7.4508
-7.9206 -6.1943 3.7387
Tb Pd
9 6
direct
0.8288 0.6576 0.0467 Tb
0.1712 0.3424 0.9533 Tb
0.7922 0.5844 0.3849 Tb
0.2078 0.4156 0.6151 Tb
0.1257 0.2515 0.2778 Tb
0.8743 0.7485 0.7222 Tb
0.4629 0.9258 0.3406 Tb
0.5371 0.0742 0.6594 Tb
0.5000 0.0000 0.0000 Tb
0.6339 0.2679 0.4626 Pd
0.3661 0.7321 0.5374 Pd
0.6854 0.3708 0.1362 Pd
0.3146 0.6292 0.8638 Pd
0.9734 0.9467 0.1739 Pd
0.0266 0.0533 0.8261 Pd
```

## Properties
Total energy   -82.2 eV per cell
Energy of formation from the pure elements   -0.6214 eV/atom
E above lowest polymorph   96 meV per atom

***

The following is a PBE-GGA calculation of a geometry-optimized DySnHg2 structure, from Alexandria via LeMat-Bulk.

Cell and atoms, written as POSCAR:
```
DySnHg2
1.0
4.7828 0.0000 0.0000
2.3914 4.1420 0.0000
2.3914 1.3807 5.2019
Hg Sn Dy
2 1 1
direct
0.7449 0.7449 0.7653 Hg
0.2551 0.2551 0.2347 Hg
0.0000 0.0000 0.0000 Sn
0.5000 0.5000 0.5000 Dy
```

## Properties
Total energy   -10.4 eV per cell
Energy of formation from the pure elements   -0.3014 eV/atom

***

The following is a PBE-GGA calculation of a geometry-optimized SmNpAu4 structure, from Alexandria via LeMat-Bulk.

Cell and atoms, written as POSCAR:
```
SmNpAu4
1.0
-0.9303 -3.7057 4.2261
3.6254 -4.3101 0.8589
3.3860 -0.0042 4.5818
Np Au Sm
1 4 1
direct
0.2500 0.2500 0.2500 Np
0.6249 0.6249 0.1253 Au
0.6249 0.1253 0.6249 Au
0.6249 0.6249 0.6249 Au
0.1253 0.6249 0.6249 Au
0.0000 0.0000 0.0000 Sm
```

## Properties
Total energy   -32.2 eV per cell
Energy of formation from the pure elements   -0.2358 eV/atom

***

The following is a PBE-GGA calculation of a geometry-optimized AcTbCe2S4 structure, from Alexandria via LeMat-Bulk.

Cell and atoms, written as POSCAR:
```
AcTbCe2S4
1.0
4.0625 0.0000 0.0000
0.0000 7.0644 -0.1511
0.0000 2.4770 6.6490
Ac Tb Ce S
1 1 2 4
direct
0.5000 0.5000 0.0000 Ac
0.0000 0.5000 0.5000 Tb
0.0000 0.0000 0.0000 Ce
0.5000 0.0000 0.5000 Ce
0.0000 0.7579 0.7331 S
0.0000 0.2421 0.2669 S
0.5000 0.7481 0.2640 S
0.5000 0.2519 0.7360 S
```

## Properties
Total energy   -53.1 eV per cell
Uncorrected formation energy   -1994 meV per atom

***

The following is a PBE-GGA calculation of a geometry-optimized SrCdSn2 structure, from Alexandria via LeMat-Bulk.

Cell and atoms, written as POSCAR:
```
SrCdSn2
1.0
-2.2903 -2.0478 3.8140
-6.9027 -6.8925 -7.8458
10.8927 -11.3919 0.4245
Sr Cd Sn
8 8 16
direct
0.7500 0.4611 0.7058 Sr
0.2500 0.9611 0.7942 Sr
0.2500 0.5389 0.2942 Sr
0.7500 0.0389 0.2058 Sr
0.7500 0.2628 0.9570 Sr
0.2500 0.7628 0.5430 Sr
0.2500 0.7372 0.0430 Sr
0.7500 0.2372 0.4570 Sr
0.7500 0.5486 0.9447 Cd
0.2500 0.0486 0.5553 Cd
0.2500 0.4514 0.0553 Cd
0.7500 0.9514 0.4447 Cd
0.7500 0.3210 0.2107 Cd
0.2500 0.8210 0.2893 Cd
0.2500 0.6790 0.7893 Cd
0.7500 0.1790 0.7107 Cd
0.7500 0.9955 0.9461 Sn
0.2500 0.4955 0.5539 Sn
0.2500 0.0045 0.0539 Sn
0.7500 0.5045 0.4461 Sn
0.7500 0.7723 0.8890 Sn
0.2500 0.2723 0.6110 Sn
0.2500 0.2277 0.1110 Sn
0.7500 0.7277 0.3890 Sn
0.7500 0.7428 0.6967 Sn
0.2500 0.2428 0.8033 Sn
0.2500 0.2572 0.3033 Sn
0.7500 0.7572 0.1967 Sn
0.7500 0.9636 0.6354 Sn
0.2500 0.4636 0.8646 Sn
0.2500 0.0364 0.3646 Sn
0.7500 0.5364 0.1354 Sn
```

## Properties
Total energy   -97.0 eV per cell
Energy of formation from the pure elements   -0.3796 eV/atom

***

The following is a PBE-GGA calculation of a geometry-optimized TeP2Pt structure, from Alexandria via LeMat-Bulk.

Cell and atoms, written as POSCAR:
```
TeP2Pt
1.0
-0.3709 6.4193 -0.9637
-2.9497 4.8351 -3.1930
-3.6787 5.3413 0.4597
P Pt Te
2 1 1
direct
0.9832 0.9832 0.9832 P
0.5168 0.5168 0.5168 P
0.2500 0.2500 0.2500 Pt
0.7500 0.7500 0.7500 Te
```

## Properties
Total energy   -20.1 eV per cell
Uncorrected formation energy   -20 meV per atom